# 1
# K3CaCd2Cl9

K3CaCd2Cl9 after structural relaxation (PBE, Alexandria via LeMat-Bulk).

Cell lengths 7.4734, 7.4734, 9.2788 Å; angles 90.00, 90.00, 120.00 degrees
Space group P-3m1 (No. 164)
Symmetry-distinct sites (fractional):
K 0.0000 0.0000 0.0000 (multiplicity 1)
K 0.3333 0.6667 0.7069 (multiplicity 2)
Ca 0.0000 0.0000 0.5000 (multiplicity 1)
Cd 0.3333 0.6667 0.1689 (multiplicity 2)
Cl 0.0000 0.5000 0.0000 (multiplicity 3)
Cl 0.1662 0.3323 0.3246 (multiplicity 6)

Its total energy is -3.255 eV per atom.

# 2
# NdEu2Ir

NdEu2Ir after structural relaxation (PBE, Alexandria via LeMat-Bulk).

Cell lengths 3.8345, 3.8345, 31.9279 Å; angles 90.00, 90.00, 120.00 degrees
Space group R-3m (No. 166, hexagonal axes)
Symmetry-distinct sites (fractional):
Nd 0.0000 0.0000 0.0000 (multiplicity 3)
Eu 0.0000 0.0000 0.1114 (multiplicity 6)
Ir 0.0000 0.0000 0.5000 (multiplicity 3)

Its formation energy is 0.083 eV/atom.

# 3
# Be2Cd2SnPd5

Be2Cd2SnPd5 after structural relaxation (PBE, Alexandria via LeMat-Bulk).

Cell lengths 9.592, 9.592, 3.373 Å; angles 90.00, 90.00, 90.00 degrees
Space group P4/mbm (No. 127)
Symmetry-distinct sites (fractional):
Be 0.121 0.379 0.000 (multiplicity 4)
Cd 0.173 0.673 0.000 (multiplicity 4)
Sn 0.000 0.000 0.000 (multiplicity 2)
Pd 0.000 0.500 0.500 (multiplicity 2)
Pd 0.076 0.213 0.500 (multiplicity 8)

Its formation energy is -0.451 eV/atom.

Total magnetic moment
In order: 0.0 14.0 0.0
Unit: μB per formula unit